1.
Cs2PaPbS4: relaxed, PBE.

Unit cell a=7.4930 b=4.2459 c=8.3713 alpha=90.00 beta=106.75 gamma=90.00
Closest atoms and distances in Å follow each position.
Space group P2/m (No. 10)
Inequivalent atoms, fractional coordinates:
Cs 0.0000 0.0000 0.0000 (multiplicity 1)  6 S 3.44-3.45
Cs 0.5000 0.5000 0.0000 (multiplicity 1)  6 S 3.61-3.68
Pa 0.0000 0.5000 0.5000 (multiplicity 1)  6 S 2.71-2.81
Pb 0.5000 0.0000 0.5000 (multiplicity 1)  6 S 3.00-3.02
S 0.2065 0.0000 0.6826 (multiplicity 2)  2 Pa 2.81, 1 Pb 3.02
S 0.2407 0.5000 0.3125 (multiplicity 2)  1 Pa 2.71, 2 Pb 3.00

Properties
* size of the total moment: 1.01 Bohr magnetons per cell
* E_tot: -0.3803 Ry per atom
* calculated density: 5.4 g/cm³
* formation energy (no corrections): -1.25 eV per atom
* density of states at the Fermi level: 0.717 states/eV per atom

***

2.
CsPaPbSe4: relaxed, PBE.

Unit cell a=8.7774 b=10.3788 c=11.2428 alpha=90.00 beta=90.00 gamma=90.00
Closest atoms and distances in Å follow each position.
Space group Imma (No. 74)
Inequivalent atoms, fractional coordinates:
Cs 0.0000 0.2500 0.1963 (multiplicity 4)  4 Se 3.42-3.44
Pa 0.2500 0.2500 0.7500 (multiplicity 4)  6 Se 2.72-2.84
Pb 0.0000 0.0000 0.5000 (multiplicity 4)  6 Se 3.10-3.19
Se 0.0000 0.0773 0.7663 (multiplicity 8)  2 Pa 2.84, 1 Pb 3.10
Se 0.2105 0.2500 0.5097 (multiplicity 8)  1 Pa 2.72

Properties
* size of the total moment: 0.00 Bohr magnetons per cell
* E_tot: -0.3763 Ry per atom
* calculated density: 5.8 g/cm³
* formation energy (no corrections): -1.12 eV per atom